Below is a relaxed structure of ErZn4Cr, with properties calculated at the PBE level.

Calculated values
- DOS at the Fermi energy: 0.2194 states/eV/atom
- DFT formation energy: -0.148 eV per atom

abc: 7.3429 7.3429 7.3429
angles: 90.00 90.00 90.00
Space group F-43m (No. 216)
One atom of each set of equivalent atoms:
Er 0.0000 0.0000 0.0000 [4 per cell]
Zn 0.1243 0.1243 0.3757 [16 per cell]
Cr 0.2500 0.2500 0.7500 [4 per cell]


Below is a relaxed structure of KY2Os, with properties calculated at the PBE level.

Calculated values
- DOS at the Fermi energy: 0.8797 states/eV/atom
- Energy above the most stable polymorph in this dataset: 3.68 eV per formula unit
- DFT formation energy: 0.904 eV per atom

abc: 7.3826 7.3826 7.3826
angles: 90.00 90.00 90.00
Space group F-43m (No. 216)
One atom of each set of equivalent atoms:
K 0.0000 0.0000 0.0000 [4 per cell]
Y 0.0000 0.0000 0.5000 [4 per cell]
Y 0.2500 0.2500 0.2500 [4 per cell]
Os 0.2500 0.2500 0.7500 [4 per cell]


Below is a relaxed structure of Li2TcNi, with properties calculated at the PBE level.

Calculated values
- DOS at the Fermi energy: 0.7450 states/eV/atom
- Energy above the most stable polymorph in this dataset: 0.30 eV per formula unit
- DFT formation energy: 0.161 eV per atom

abc: 2.5380 4.4480 4.5965
angles: 90.00 90.00 90.00
Space group Pmmm (No. 47)
One atom of each set of equivalent atoms:
Li 0.0000 0.0000 0.0000 [1 per cell]
Li 0.5000 0.5000 0.0000 [1 per cell]
Tc 0.0000 0.5000 0.5000 [1 per cell]
Ni 0.5000 0.0000 0.5000 [1 per cell]


Below is a relaxed structure of LaSbIr3, with properties calculated at the PBE level.

Calculated values
- DOS at the Fermi energy: 1.0046 states/eV/atom
- Energy above the most stable polymorph in this dataset: 6.03 eV per formula unit
- E_form (uncorrected): 166.70 kJ/mol of atoms

abc: 4.9717 4.9717 4.9717
angles: 90.00 90.00 90.00
Space group Pm-3m (No. 221)
One atom of each set of equivalent atoms:
La 0.0000 0.0000 0.0000 [1 per cell]
Sb 0.5000 0.5000 0.5000 [1 per cell]
Ir 0.0000 0.0000 0.5000 [3 per cell]


Below is a relaxed structure of ZnCd2Hg3, with properties calculated at the PBE level.

Calculated values
- DOS at the Fermi energy: 0.3446 states/eV/atom
- DFT formation energy: 0.065 eV per atom

abc: 3.3739 5.9952 14.5092
angles: 90.00 90.00 90.00
Space group Immm (No. 71)
One atom of each set of equivalent atoms:
Zn 0.0000 0.0000 0.0000 [2 per cell]
Cd 0.0000 0.0000 0.3252 [4 per cell]
Hg 0.0000 0.5000 0.0000 [2 per cell]
Hg 0.0000 0.5000 0.3472 [4 per cell]


Below is a relaxed structure of RbTeH3, with properties calculated at the PBE level.

Calculated values
- Energy above the most stable polymorph in this dataset: 0.00 eV per formula unit

abc: 5.8929 11.1881 8.5925
angles: 90.00 133.26 90.00
Space group P2_1/c (No. 14)
One atom of each set of equivalent atoms:
Rb 0.0680 0.1717 0.0694 [4 per cell]
Te 0.2731 0.0218 0.7745 [4 per cell]
H 0.4288 0.6887 0.9133 [4 per cell]
H 0.4298 0.7436 0.4226 [4 per cell]
H 0.4340 0.5005 0.9988 [4 per cell]


Below is a relaxed structure of Ce4UPa3N8, with properties calculated at the PBE level.

Calculated values
- DOS at the Fermi energy: 0.7553 states/eV/atom
- E_form (uncorrected): -151.98 kJ/mol of atoms

abc: 7.0595 7.0595 17.2408
angles: 90.00 90.00 120.00
Space group R-3m (No. 166, hexagonal axes)
One atom of each set of equivalent atoms:
Ce 0.0000 0.0000 0.0000 [3 per cell]
Ce 0.0000 0.5000 0.0000 [9 per cell]
U 0.0000 0.0000 0.5000 [3 per cell]
Pa 0.0000 0.5000 0.5000 [9 per cell]
N 0.0000 0.0000 0.2421 [6 per cell]
N 0.0076 0.5038 0.2406 [18 per cell]


Below is a relaxed structure of PrLuScCd, with properties calculated at the PBE level.

Calculated values
- DOS at the Fermi energy: 1.2359 states/eV/atom
- DFT formation energy: -0.033 eV per atom

abc: 7.6094 7.6094 7.6094
angles: 90.00 90.00 90.00
Space group F-43m (No. 216)
One atom of each set of equivalent atoms:
Pr 0.0000 0.0000 0.0000 [4 per cell]
Lu 0.0000 0.0000 0.5000 [4 per cell]
Sc 0.2500 0.2500 0.7500 [4 per cell]
Cd 0.2500 0.2500 0.2500 [4 per cell]


Below is a relaxed structure of Tb4Y19Ho6, with properties calculated at the PBE level.

Calculated values
- DOS at the Fermi energy: 1.5448 states/eV/atom
- DFT formation energy: 0.385 eV per atom

abc: 12.4735 12.4735 12.4735
angles: 90.00 90.00 90.00
Space group I23 (No. 197)
One atom of each set of equivalent atoms:
Tb 0.1791 0.1791 0.1791 [8 per cell]
Y 0.0000 0.0000 0.0000 [2 per cell]
Y 0.0000 0.0000 0.2611 [12 per cell]
Y 0.0618 0.2790 0.7345 [24 per cell]
Ho 0.0000 0.1244 0.5000 [12 per cell]


Below is a relaxed structure of Nb2GaTc, with properties calculated at the PBE level.

Calculated values
- DOS at the Fermi energy: 0.7934 states/eV/atom
- DFT formation energy: 0.002 eV per atom

abc: 2.9916 2.9916 26.4165
angles: 90.00 90.00 120.00
Space group R-3m (No. 166, hexagonal axes)
One atom of each set of equivalent atoms:
Nb 0.0000 0.0000 0.2471 [6 per cell]
Ga 0.0000 0.0000 0.0000 [3 per cell]
Tc 0.0000 0.0000 0.5000 [3 per cell]


Below is a relaxed structure of LiCa2Tb, with properties calculated at the PBE level.

Calculated values
- DOS at the Fermi energy: 1.1979 states/eV/atom
- Energy above the most stable polymorph in this dataset: 0.65 eV per formula unit
- DFT formation energy: 0.264 eV per atom

abc: 3.5735 3.5735 37.8540
angles: 90.00 90.00 120.00
Space group R-3m (No. 166, hexagonal axes)
One atom of each set of equivalent atoms:
Li 0.0000 0.0000 0.0000 [3 per cell]
Ca 0.0000 0.0000 0.4084 [6 per cell]
Tb 0.0000 0.0000 0.5000 [3 per cell]


Below is a relaxed structure of Sr2LaZnO, with properties calculated at the PBE level.

Calculated values
- DOS at the Fermi energy: 1.2190 states/eV/atom
- Energy above the most stable polymorph in this dataset: 10.21 eV per formula unit
- E_form (uncorrected): 92.92 kJ/mol of atoms

abc: 6.6615 6.6615 5.2884
angles: 90.00 90.00 90.00
Space group P4/mmm (No. 123)
One atom of each set of equivalent atoms:
Sr 0.0000 0.5000 0.0000 [2 per cell]
La 0.0000 0.0000 0.0000 [1 per cell]
Zn 0.0000 0.0000 0.5000 [1 per cell]
O 0.5000 0.5000 0.5000 [1 per cell]


So what do the calculations give for total moment? Going down the list: 0.501, 0.000, 0.195, 0.000, 0.000, 0.000, 0.000, 0.000, 0.000, 0.000, 0.101, 0.600 μB/atom.